# Ac4PdSI2, optimized geometry, DFT PBE-GGA
# * ΔE_f (raw): -1188 meV/atom
# * magnetic moment: 0.000 μB/atom
data_Ac4PdSI2
_symmetry_space_group_name_H-M 'P 1 2/m 1'
_symmetry_Int_Tables_number 10
_cell_length_a 7.793
_cell_length_b 4.317
_cell_length_c 8.797
_cell_angle_alpha 90.00
_cell_angle_beta 106.93
_cell_angle_gamma 90.00
loop_
_symmetry_equiv_pos_as_xyz
'x,y,z'
'-x,-y,-z'
'-x,y,-z'
'x,-y,z'
loop_
_atom_site_label
_atom_site_type_symbol
_atom_site_fract_x
_atom_site_fract_y
_atom_site_fract_z
Ac1 Ac 0.222 0.000 0.198
Ac2 Ac 0.274 0.500 0.806
Pd1 Pd 0.500 0.000 0.000
S1 S 0.000 0.500 0.000
I1 I 0.000 0.000 0.500
I2 I 0.500 0.500 0.500